TeCS2: optimized geometry, PBE-GGA.

POSCAR file:
```
TeCS2
1.0
-5.654 2.691 1.022
-2.519 -5.715 1.115
-3.288 -1.175 4.599
S Te C
4 2 2
Direct
0.474 0.125 0.250
0.276 0.625 0.250
0.375 0.526 0.750
0.875 0.724 0.750
0.000 0.000 0.000
0.750 0.250 0.500
0.500 0.500 0.000
0.250 0.750 0.500
```

Summary:
Crystal system: tetragonal
D(E_F) in states/eV per cell: 3.40
Volume in Å³/atom: 18.3
Energy relative to the elements, uncorrected in kJ/mol of formula units: 442
Symmetry: No. 122


TeC3S: optimized geometry, PBE-GGA.

POSCAR file:
```
TeC3S
1.0
4.205 0.000 0.000
0.000 4.205 0.000
0.000 0.000 4.205
S Te C
1 1 3
Direct
0.500 0.500 0.500
0.000 0.000 0.000
0.000 0.500 0.000
0.000 0.000 0.500
0.500 0.000 0.000
```

Summary:
Crystal system: cubic
D(E_F) in states/eV per cell: 4.30
Volume in Å³/atom: 14.9
Energy relative to the elements, uncorrected in kJ/mol of formula units: 1575
Symmetry: No. 221


TeCS2: optimized geometry, PBE-GGA.

POSCAR file:
```
TeCS2
1.0
1.995 0.000 10.179
-0.998 1.728 10.179
-0.998 -1.728 10.179
S Te C
2 1 1
Direct
0.949 0.949 0.949
0.051 0.051 0.051
0.500 0.500 0.500
0.000 0.000 0.000
```

Summary:
Crystal system: trigonal
D(E_F) in states/eV per cell: 3.40
Volume in Å³/atom: 26.3
Energy relative to the elements, uncorrected in kJ/mol of formula units: 192
Symmetry: No. 166


Th3TeCS: optimized geometry, PBE-GGA.

POSCAR file:
```
Th3TeCS
1.0
-1.028 -3.840 0.829
8.002 -2.193 -0.233
-1.305 2.318 9.112
Th Te C S
6 2 2 2
Direct
0.250 0.718 0.427
0.750 0.864 0.120
0.750 0.446 0.137
0.750 0.282 0.573
0.250 0.554 0.863
0.250 0.136 0.880
0.750 0.806 0.757
0.250 0.194 0.243
0.250 0.659 0.145
0.750 0.341 0.855
0.250 0.068 0.596
0.750 0.932 0.404
```

Summary:
Crystal system: monoclinic
D(E_F) in states/eV per cell: 7.23
Volume in Å³/atom: 26.0
Energy relative to the elements, uncorrected in kJ/mol of formula units: -483
Symmetry: No. 11


Th6Te3C2S: optimized geometry, PBE-GGA.

POSCAR file:
```
Th6Te3C2S
1.0
6.944 -0.002 -0.001
-3.472 6.014 -0.001
-1.159 -2.007 7.401
Th Te C S
6 3 2 1
Direct
0.936 0.584 0.808
0.712 0.712 0.190
0.064 0.416 0.192
0.584 0.936 0.808
0.288 0.288 0.810
0.416 0.064 0.192
0.161 0.839 0.500
0.839 0.161 0.500
0.500 0.500 0.500
0.333 0.667 0.000
0.667 0.333 0.000
0.000 0.000 0.000
```

Summary:
Crystal system: monoclinic
D(E_F) in states/eV per cell: 7.60
Volume in Å³/atom: 25.8
Energy relative to the elements, uncorrected in kJ/mol of formula units: -1186
Symmetry: No. 12


Th4Te2CS: optimized geometry, PBE-GGA.

POSCAR file:
```
Th4Te2CS
1.0
4.016 0.000 0.000
0.000 7.057 0.157
0.000 -2.447 7.348
Th Te C S
4 2 1 1
Direct
0.500 0.253 0.199
0.500 0.747 0.801
0.000 0.286 0.808
0.000 0.714 0.192
0.500 0.000 0.500
0.000 0.500 0.500
0.500 0.500 0.000
0.000 0.000 0.000
```

Summary:
Crystal system: monoclinic
D(E_F) in states/eV per cell: 6.46
Volume in Å³/atom: 26.2
Energy relative to the elements, uncorrected in kJ/mol of formula units: -861
Symmetry: No. 10


Tm6Te3CS2: optimized geometry, PBE-GGA.

POSCAR file:
```
Tm6Te3CS2
1.0
-4.556 -3.148 -4.009
-0.438 -0.610 6.795
-2.377 6.783 -0.687
Tm Te C S
6 3 1 2
Direct
0.935 0.629 0.805
0.762 0.762 0.201
0.065 0.371 0.195
0.629 0.935 0.805
0.238 0.238 0.799
0.371 0.065 0.195
0.174 0.826 0.500
0.826 0.174 0.500
0.500 0.500 0.500
0.000 0.000 0.000
0.334 0.666 0.000
0.666 0.334 0.000
```

Summary:
Crystal system: monoclinic
D(E_F) in states/eV per cell: 4.89
Volume in Å³/atom: 23.1
Energy relative to the elements, uncorrected in kJ/mol of formula units: -1610
Symmetry: No. 12


Tm8Te4C3S: optimized geometry, PBE-GGA.

POSCAR file:
```
Tm8Te4C3S
1.0
-0.676 2.253 -7.328
-8.004 1.282 1.133
4.939 3.586 4.689
Tm Te C S
8 4 3 1
Direct
0.242 0.691 0.949
0.242 0.691 0.484
0.270 0.310 0.540
0.707 0.691 0.949
0.293 0.309 0.051
0.730 0.690 0.460
0.758 0.309 0.516
0.758 0.309 0.051
0.500 0.000 0.000
0.500 0.000 0.500
0.000 0.000 0.000
0.000 0.000 0.500
0.500 0.500 0.000
0.500 0.500 0.500
0.000 0.500 0.500
0.000 0.500 0.000
```

Summary:
Crystal system: trigonal
D(E_F) in states/eV per cell: 5.16
Volume in Å³/atom: 22.0
Energy relative to the elements, uncorrected in kJ/mol of formula units: -1665
Symmetry: No. 166